Below is an optimized crystal structure of Th2Ni4SbAs3, with properties calculated at the PBE level.

a b c (Å): 4.2645 4.2645 9.7281
angles (deg): 90.00 90.00 90.00
Last column: nearest neighbours and their distance in Å.
Positions (direct):
1 Th 0.5000 0.0000 0.2293  8 Ni 3.09-3.29, 7 As 3.18-3.44, 2 Sb 3.39
2 Th 0.0000 0.5000 0.7707  8 Ni 3.09-3.29, 7 As 3.18-3.44, 2 Sb 3.39
3 Ni 0.5000 0.5000 0.0000  4 As 2.45
4 Ni 0.0000 0.0000 0.0000  4 As 2.45
5 Ni 0.5000 0.0000 0.6355  3 As 2.34-2.51, 2 Sb 2.51
6 Ni 0.0000 0.5000 0.3645  3 As 2.34-2.51, 2 Sb 2.51
7 Sb 0.5000 0.5000 0.5000  4 Ni 2.51
8 As 0.0000 0.0000 0.5000  4 Ni 2.51
9 As 0.5000 0.0000 0.8761  5 Ni 2.34-2.45
10 As 0.0000 0.5000 0.1239  5 Ni 2.34-2.45

Summary:
formation energy from raw total energies: -7.496 eV per formula unit
space-group type: P-4m2 (115)


Below is an optimized crystal structure of NdScBi, with properties calculated at the PBE level.

a b c (Å): 4.0146 5.0642 5.0642
angles (deg): 120.00 90.00 90.00
Last column: nearest neighbours and their distance in Å.
Positions (direct):
1 Sc 0.1578 0.0000 0.0000  3 Bi 2.93
2 Nd 0.6627 0.6667 0.3333  6 Bi 3.51-3.59, 6 Sc 3.54-3.56
3 Bi 0.1795 0.3333 0.6667  3 Sc 2.93

Summary:
space-group type: P3m1 (156)
final energy: -5.3365 eV/atom


Below is an optimized crystal structure of SmDy2Y6Tm, with properties calculated at the PBE level.

a b c (Å): 9.5976 8.7779 8.7779
angles (deg): 117.53 94.11 94.11
Last column: nearest neighbours and their distance in Å.
Positions (direct):
1 Sm 0.2500 0.9763 0.0237  4 Dy 3.38-3.41, 4 Y 3.56-3.65
2 Sm 0.7500 0.0237 0.9763  4 Dy 3.38-3.41, 4 Y 3.56-3.65
3 Dy 0.4532 0.8019 0.6991  6 Y 3.26-3.63, 2 Sm 3.38-3.41, 1 Tm 3.51
4 Dy 0.0468 0.3009 0.1981  6 Y 3.26-3.63, 2 Sm 3.38-3.41, 1 Tm 3.51
5 Dy 0.5468 0.1981 0.3009  6 Y 3.26-3.63, 2 Sm 3.38-3.41, 1 Tm 3.51
6 Dy 0.9532 0.6991 0.8019  6 Y 3.26-3.63, 2 Sm 3.38-3.41, 1 Tm 3.51
7 Y 0.0566 0.1229 0.7516  7 Y 3.41-3.73, 1 Dy 3.50, 1 Sm 3.65
8 Y 0.4434 0.2484 0.8771  7 Y 3.41-3.73, 1 Dy 3.50, 1 Sm 3.65
9 Y 0.9434 0.8771 0.2484  7 Y 3.41-3.73, 1 Dy 3.50, 1 Sm 3.65
10 Y 0.5566 0.7516 0.1229  7 Y 3.41-3.73, 1 Dy 3.50, 1 Sm 3.65
11 Y 0.3157 0.9855 0.4324  3 Y 3.25-3.60, 2 Dy 3.39-3.63, 1 Tm 3.44, 1 Sm 3.56
12 Y 0.1843 0.5676 0.0145  3 Y 3.25-3.60, 2 Dy 3.39-3.63, 1 Tm 3.44, 1 Sm 3.56
13 Y 0.6843 0.0145 0.5676  3 Y 3.25-3.60, 2 Dy 3.39-3.63, 1 Tm 3.44, 1 Sm 3.56
14 Y 0.8157 0.4324 0.9855  3 Y 3.25-3.60, 2 Dy 3.39-3.63, 1 Tm 3.44, 1 Sm 3.56
15 Y 0.1173 0.7070 0.4928  4 Y 3.25-3.53, 3 Dy 3.26-3.43, 2 Tm 3.40-3.53
16 Y 0.3827 0.5072 0.2930  4 Y 3.25-3.53, 3 Dy 3.26-3.43, 2 Tm 3.40-3.53
17 Y 0.8827 0.2930 0.5072  4 Y 3.25-3.53, 3 Dy 3.26-3.43, 2 Tm 3.40-3.53
18 Y 0.6173 0.4928 0.7070  4 Y 3.25-3.53, 3 Dy 3.26-3.43, 2 Tm 3.40-3.53
19 Tm 0.2500 0.4094 0.5906  6 Y 3.40-3.53, 2 Dy 3.51
20 Tm 0.7500 0.5906 0.4094  6 Y 3.40-3.53, 2 Dy 3.51

Summary:
space-group type: C2/c (15)
final energy: -5.6004 eV/atom


Below is an optimized crystal structure of BaSnSb2, with properties calculated at the PBE level.

a b c (Å): 4.9289 5.0502 5.0502
angles (deg): 90.00 90.00 90.00
Last column: nearest neighbours and their distance in Å.
Positions (direct):
1 Sb 0.0000 0.0000 0.5000  4 Ba 3.53, 4 Sn 3.53, 4 Sb 3.57
2 Sb 0.0000 0.5000 0.0000  4 Ba 3.53, 4 Sn 3.53, 4 Sb 3.57
3 Ba 0.5000 0.0000 0.0000  8 Sb 3.53, 4 Sn 3.57
4 Sn 0.5000 0.5000 0.5000  8 Sb 3.53, 4 Ba 3.57

Summary:
formation energy from raw total energies: -1.659 eV per formula unit
space-group type: P4/mmm (123)


M_tot (computed, μB/cell): 0.00; 0.36; 0.00; 0.00